[1]
The following is a PBE calculation of a relaxed structure of Pr2YSe3, from Alexandria.

Results
M_tot = 0.00 μB/cell
energy relative to the elements, uncorrected = -1.8134 eV/atom
ρ = 6.384 g/cm³

a b c (Å): 4.1976 5.9471 7.3029
angles (deg): 114.03 106.70 90.00
Last column: nearest neighbours and their distance in Å.
Sites, in units of the cell vectors:
1 Se 0.1567 0.6567 0.8135  2 Y 2.89, 4 Pr 2.98-3.02
2 Se 0.5000 0.0000 0.5000  2 Y 2.97, 4 Pr 3.03
3 Se 0.8433 0.3433 0.1865  2 Y 2.89, 4 Pr 2.98-3.02
4 Pr 0.8278 0.8278 0.1555  6 Se 2.98-3.03
5 Pr 0.1722 0.1722 0.8445  6 Se 2.98-3.03
6 Y 0.5000 0.5000 0.5000  6 Se 2.89-2.97



[2]
The following is a PBE calculation of a relaxed structure of Pr2YSe4, from Alexandria.

Results
M_tot = 0.00 μB/cell
energy relative to the elements, uncorrected = -1.8216 eV/atom
ρ = 5.649 g/cm³

a b c (Å): 4.0485 7.3222 14.1674
angles (deg): 90.00 90.00 106.05
Last column: nearest neighbours and their distance in Å.
Sites, in units of the cell vectors:
1 Se 0.0187 0.0375 0.2500  2 Y 2.89, 2 Pr 2.97
2 Se 0.7809 0.5618 0.3739  2 Y 2.97, 3 Pr 3.03-3.07
3 Se 0.5000 0.0000 0.0000  4 Pr 2.91
4 Se 0.2191 0.4382 0.8739  2 Y 2.97, 3 Pr 3.03-3.07
5 Se 0.7809 0.5618 0.1261  2 Y 2.97, 3 Pr 3.03-3.07
6 Se 0.2191 0.4382 0.6261  2 Y 2.97, 3 Pr 3.03-3.07
7 Se 0.5000 0.0000 0.5000  4 Pr 2.91
8 Se 0.9813 0.9625 0.7500  2 Y 2.89, 2 Pr 2.97
9 Pr 0.1301 0.2602 0.4279  6 Se 2.91-3.07
10 Pr 0.8699 0.7398 0.9279  6 Se 2.91-3.07
11 Pr 0.1301 0.2602 0.0721  6 Se 2.91-3.07
12 Pr 0.8699 0.7398 0.5721  6 Se 2.91-3.07
13 Y 0.6279 0.2557 0.7500  6 Se 2.89-2.97
14 Y 0.3721 0.7443 0.2500  6 Se 2.89-2.97



[3]
The following is a PBE calculation of a relaxed structure of Pr4Y3Se8, from Alexandria.

Results
M_tot = 0.00 μB/cell
energy relative to the elements, uncorrected = -1.6392 eV/atom
ρ = 5.399 g/cm³

a b c (Å): 8.1976 8.1976 9.0612
angles (deg): 63.11 63.11 60.00
Last column: nearest neighbours and their distance in Å.
Sites, in units of the cell vectors:
1 Y 0.5000 0.0000 0.5000  6 Se 2.79-2.96
2 Y 0.0000 0.5000 0.5000  6 Se 2.79-2.96
3 Y 0.0000 0.0000 0.5000  6 Se 2.79-2.96
4 Se 0.7647 0.2499 0.7355  3 Pr 2.90-3.07, 2 Y 2.96
5 Se 0.2499 0.2499 0.7355  3 Pr 2.90-3.07, 2 Y 2.96
6 Se 0.7501 0.2353 0.2645  3 Pr 2.90-3.07, 2 Y 2.96
7 Se 0.2353 0.7501 0.2645  3 Pr 2.90-3.07, 2 Y 2.96
8 Se 0.7501 0.7501 0.2645  3 Pr 2.90-3.07, 2 Y 2.96
9 Se 0.7695 0.7695 0.6915  3 Y 2.79, 1 Pr 2.85
10 Se 0.2305 0.2305 0.3085  3 Y 2.79, 1 Pr 2.85
11 Se 0.2499 0.7647 0.7355  3 Pr 2.90-3.07, 2 Y 2.96
12 Pr 0.0000 0.0000 0.0000  6 Se 3.07
13 Pr 0.6465 0.6465 0.0604  4 Se 2.85-2.90
14 Pr 0.3535 0.3535 0.9396  4 Se 2.85-2.90
15 Pr 0.5000 0.5000 0.5000  6 Se 3.04, 2 Pr 3.40



[4]
The following is a PBE calculation of a relaxed structure of Pr2Y2Se5, from Alexandria.

Results
M_tot = 0.00 μB/cell
energy relative to the elements, uncorrected = -1.7698 eV/atom
ρ = 6.211 g/cm³

a b c (Å): 7.7968 8.4358 8.4358
angles (deg): 124.57 90.00 90.00
Last column: nearest neighbours and their distance in Å.
Sites, in units of the cell vectors:
1 Se 0.6539 0.0237 0.2924  3 Y 2.91-3.15, 3 Pr 3.05-3.12
2 Se 0.1539 0.2076 0.4763  3 Y 2.91-3.15, 3 Pr 3.05-3.12
3 Se 0.1539 0.4763 0.2076  3 Y 2.91-3.15, 3 Pr 3.05-3.12
4 Se 0.3461 0.9763 0.7076  3 Y 2.91-3.15, 3 Pr 3.05-3.12
5 Se 0.6539 0.2924 0.0237  3 Y 2.91-3.15, 3 Pr 3.05-3.12
6 Se 0.5000 0.5000 0.5000  4 Y 2.93-3.00, 2 Pr 2.95
7 Se 0.8461 0.5237 0.7924  3 Y 2.91-3.15, 3 Pr 3.05-3.12
8 Se 0.8461 0.7924 0.5237  3 Y 2.91-3.15, 3 Pr 3.05-3.12
9 Se 0.3461 0.7076 0.9763  3 Y 2.91-3.15, 3 Pr 3.05-3.12
10 Se 0.0000 0.0000 0.0000  4 Y 2.93-3.00, 2 Pr 2.95
11 Y 0.3434 0.1512 0.1512  8 Se 2.91-3.15
12 Y 0.1566 0.6512 0.6512  8 Se 2.91-3.15
13 Y 0.6566 0.8488 0.8488  8 Se 2.91-3.15
14 Y 0.8434 0.3488 0.3488  8 Se 2.91-3.15
15 Pr 0.0000 0.8024 0.1976  7 Se 2.95-3.12
16 Pr 0.0000 0.1976 0.8024  7 Se 2.95-3.12
17 Pr 0.5000 0.3024 0.6976  7 Se 2.95-3.12
18 Pr 0.5000 0.6976 0.3024  7 Se 2.95-3.12



[5]
The following is a PBE calculation of a relaxed structure of Pr5YSe6, from Alexandria.

Results
M_tot = 0.00 μB/cell
energy relative to the elements, uncorrected = -1.8328 eV/atom
ρ = 6.525 g/cm³

a b c (Å): 7.3280 7.3391 7.3469
angles (deg): 60.04 80.36 70.41
Last column: nearest neighbours and their distance in Å.
Sites, in units of the cell vectors:
1 Pr 0.5000 0.5000 0.0000  6 Se 2.99-3.06
2 Pr 0.0000 0.3324 0.3352  6 Se 2.99-3.03
3 Pr 0.0000 0.6676 0.6648  6 Se 2.99-3.03
4 Pr 0.5000 0.8273 0.3454  6 Se 3.00-3.03
5 Pr 0.5000 0.1727 0.6546  6 Se 3.00-3.03
6 Se 0.2429 0.5960 0.3228  1 Y 2.90, 5 Pr 2.99-3.03
7 Se 0.7522 0.7592 0.0000  1 Y 2.93, 5 Pr 3.03-3.06
8 Se 0.2478 0.2408 0.0000  1 Y 2.93, 5 Pr 3.03-3.06
9 Se 0.7571 0.0812 0.3228  1 Y 2.90, 5 Pr 2.99-3.03
10 Se 0.2429 0.9188 0.6772  1 Y 2.90, 5 Pr 2.99-3.03
11 Se 0.7571 0.4040 0.6772  1 Y 2.90, 5 Pr 2.99-3.03
12 Y 0.0000 0.0000 0.0000  6 Se 2.90-2.93



[6]
The following is a PBE calculation of a relaxed structure of Pr2YSe, from Alexandria.

Results
M_tot = 0.90 μB/cell
energy relative to the elements, uncorrected = -0.7634 eV/atom
ρ = 5.655 g/cm³

a b c (Å): 3.9487 3.9487 10.0403
angles (deg): 78.66 78.66 60.00
Last column: nearest neighbours and their distance in Å.
Sites, in units of the cell vectors:
1 Y 0.5000 0.5000 0.5000  6 Pr 3.73, 6 Y 3.95
2 Se 0.0000 0.0000 0.0000  6 Pr 2.99
3 Pr 0.2674 0.2674 0.1979  3 Se 2.99
4 Pr 0.7326 0.7326 0.8021  3 Se 2.99



[7]
The following is a PBE calculation of a relaxed structure of PrYSe, from Alexandria.

Results
M_tot = 0.25 μB/cell
energy relative to the elements, uncorrected = -1.0152 eV/atom
ρ = 6.419 g/cm³

a b c (Å): 4.3400 4.3400 8.4812
angles (deg): 90.00 90.00 90.00
Last column: nearest neighbours and their distance in Å.
Sites, in units of the cell vectors:
1 Y 0.0000 0.0000 0.5000  4 Y 3.07, 4 Se 3.11
2 Y 0.5000 0.5000 0.5000  4 Y 3.07, 4 Se 3.11
3 Pr 0.5000 0.0000 0.1392  5 Se 3.18-3.20
4 Pr 0.0000 0.5000 0.8608  5 Se 3.18-3.20
5 Se 0.5000 0.0000 0.7619  4 Y 3.11, 5 Pr 3.18-3.20
6 Se 0.0000 0.5000 0.2381  4 Y 3.11, 5 Pr 3.18-3.20



[8]
The following is a PBE calculation of a relaxed structure of Pr3YSe6, from Alexandria.

Results
M_tot = 0.00 μB/cell
energy relative to the elements, uncorrected = -1.8679 eV/atom
ρ = 5.058 g/cm³

a b c (Å): 8.6509 8.6509 8.6509
angles (deg): 91.24 91.24 91.24
Last column: nearest neighbours and their distance in Å.
Sites, in units of the cell vectors:
1 Se 0.5397 0.4117 0.1866  1 Y 2.83, 3 Pr 2.96-3.04
2 Se 0.8134 0.4603 0.5883  1 Y 2.83, 3 Pr 2.96-3.04
3 Se 0.4117 0.1866 0.5397  1 Y 2.83, 3 Pr 2.96-3.04
4 Se 0.1866 0.5397 0.4117  1 Y 2.83, 3 Pr 2.96-3.04
5 Se 0.4603 0.5883 0.8134  1 Y 2.83, 3 Pr 2.96-3.04
6 Se 0.0863 0.9192 0.6901  1 Y 2.87, 3 Pr 2.97-3.05
7 Se 0.3099 0.9137 0.0808  1 Y 2.87, 3 Pr 2.97-3.05
8 Se 0.0808 0.3099 0.9137  1 Y 2.87, 3 Pr 2.97-3.05
9 Se 0.9192 0.6901 0.0863  1 Y 2.87, 3 Pr 2.97-3.05
10 Se 0.5883 0.8134 0.4603  1 Y 2.83, 3 Pr 2.96-3.04
11 Se 0.6901 0.0863 0.9192  1 Y 2.87, 3 Pr 2.97-3.05
12 Se 0.9137 0.0808 0.3099  1 Y 2.87, 3 Pr 2.97-3.05
13 Y 0.5000 0.5000 0.5000  6 Se 2.83
14 Y 0.0000 0.0000 0.0000  6 Se 2.87
15 Pr 0.2475 0.5699 0.0784  6 Se 2.96-3.05
16 Pr 0.9216 0.7525 0.4301  6 Se 2.96-3.05
17 Pr 0.4301 0.9216 0.7525  6 Se 2.96-3.05
18 Pr 0.7525 0.4301 0.9216  6 Se 2.96-3.05
19 Pr 0.0784 0.2475 0.5699  6 Se 2.96-3.05
20 Pr 0.5699 0.0784 0.2475  6 Se 2.96-3.05



[9]
The following is a PBE calculation of a relaxed structure of PrYSe2, from Alexandria.

Results
M_tot = 0.00 μB/cell
energy relative to the elements, uncorrected = -1.8132 eV/atom
ρ = 6.232 g/cm³

a b c (Å): 4.1078 4.1078 14.1404
angles (deg): 90.00 90.00 120.00
Last column: nearest neighbours and their distance in Å.
Sites, in units of the cell vectors:
1 Se 0.3333 0.6667 0.3837  3 Y 2.89, 3 Pr 3.03
2 Se 0.6667 0.3333 0.8837  3 Y 2.89, 3 Pr 3.03
3 Se 0.3333 0.6667 0.1163  3 Y 2.89, 3 Pr 3.03
4 Se 0.6667 0.3333 0.6163  3 Y 2.89, 3 Pr 3.03
5 Pr 0.6667 0.3333 0.2500  6 Se 3.03
6 Pr 0.3333 0.6667 0.7500  6 Se 3.03
7 Y 0.0000 0.0000 0.5000  6 Se 2.89
8 Y 0.0000 0.0000 0.0000  6 Se 2.89



[10]
The following is a PBE calculation of a relaxed structure of Pr4YSe7, from Alexandria.

Results
M_tot = 0.00 μB/cell
energy relative to the elements, uncorrected = -1.8850 eV/atom
ρ = 5.792 g/cm³

a b c (Å): 4.1168 7.2387 12.5194
angles (deg): 104.35 90.00 106.52
Last column: nearest neighbours and their distance in Å.
Sites, in units of the cell vectors:
1 Se 0.2671 0.5342 0.6482  2 Y 2.93, 3 Pr 3.05-3.17
2 Se 0.0374 0.0749 0.7778  1 Y 2.82, 3 Pr 2.93-2.99
3 Se 0.6606 0.3213 0.0504  5 Pr 2.99-3.22
4 Se 0.3379 0.6757 0.9489  5 Pr 2.99-3.22
5 Se 0.4948 0.9896 0.5034  2 Y 2.84, 2 Pr 2.94
6 Se 0.7433 0.4866 0.3563  1 Y 2.96, 4 Pr 3.02-3.15
7 Se 0.9606 0.9213 0.2156  4 Pr 2.91-2.98
8 Pr 0.1121 0.2243 0.4256  6 Se 2.91-3.05
9 Pr 0.6988 0.3977 0.8073  7 Se 2.99-3.22
10 Pr 0.9993 0.9986 0.9971  6 Se 2.92-2.99
11 Pr 0.3012 0.6024 0.1924  7 Se 2.98-3.22
12 Y 0.8868 0.7736 0.5769  6 Se 2.82-2.96



[11]
The following is a PBE calculation of a relaxed structure of PrY2Se4, from Alexandria.

Results
M_tot = 0.00 μB/cell
energy relative to the elements, uncorrected = -1.8785 eV/atom
ρ = 5.526 g/cm³

a b c (Å): 4.0488 7.0666 13.9133
angles (deg): 90.00 90.00 106.65
Last column: nearest neighbours and their distance in Å.
Sites, in units of the cell vectors:
1 Y 0.1305 0.2610 0.4323  6 Se 2.82-2.91
2 Y 0.8695 0.7390 0.9323  6 Se 2.82-2.91
3 Y 0.1305 0.2610 0.0677  6 Se 2.82-2.91
4 Y 0.8695 0.7390 0.5677  6 Se 2.82-2.91
5 Se 0.0393 0.0787 0.2500  2 Y 2.82, 2 Pr 3.00
6 Se 0.5000 0.0000 0.5000  4 Y 2.85
7 Se 0.9607 0.9213 0.7500  2 Y 2.82, 2 Pr 3.00
8 Se 0.7738 0.5477 0.1196  3 Y 2.90-2.91, 2 Pr 3.05
9 Se 0.5000 0.0000 0.0000  4 Y 2.85
10 Se 0.2262 0.4523 0.8804  3 Y 2.90-2.91, 2 Pr 3.05
11 Se 0.2262 0.4523 0.6196  3 Y 2.90-2.91, 2 Pr 3.05
12 Se 0.7738 0.5477 0.3804  3 Y 2.90-2.91, 2 Pr 3.05
13 Pr 0.6238 0.2476 0.7500  6 Se 3.00-3.05
14 Pr 0.3762 0.7524 0.2500  6 Se 3.00-3.05



[12]
The following is a PBE calculation of a relaxed structure of PrYSe2, from Alexandria.

Results
M_tot = 0.00 μB/cell
energy relative to the elements, uncorrected = -1.8111 eV/atom
ρ = 6.249 g/cm³

a b c (Å): 4.1402 4.1402 7.3346
angles (deg): 73.53 73.53 60.16
Last column: nearest neighbours and their distance in Å.
Sites, in units of the cell vectors:
1 Y 0.0000 0.0000 0.0000  6 Se 2.89
2 Pr 0.5000 0.5000 0.5000  6 Se 3.02
3 Se 0.2555 0.2555 0.2333  3 Y 2.89, 3 Pr 3.02
4 Se 0.7445 0.7445 0.7667  3 Y 2.89, 3 Pr 3.02